[1]
NaSr2CaGe | Alexandria | GGA-PBE | relaxed; formation energy from the elements = 0.865 eV/atom; total magnetic moment = 0.142 μB per atom; theoretical density = 2.1 g/cm3
1.0
6.576 0.000 0.000
0.000 6.576 0.000
0.000 0.000 5.568
Na Sr Ca Ge
1 2 1 1
direct
0.000 0.000 0.000
0.000 0.500 0.500
0.500 0.000 0.500
0.000 0.000 0.500
0.500 0.500 0.000


[2]
NaSr2CaGe | Alexandria | GGA-PBE | relaxed; formation energy from the elements = -0.222 eV/atom; total magnetic moment = 0.000 μB per atom; theoretical density = 2.3 g/cm3
1.0
6.205 0.000 0.000
0.000 6.205 0.000
0.000 0.000 5.823
Na Sr Ca Ge
1 2 1 1
direct
0.000 0.000 0.000
0.000 0.500 0.500
0.500 0.000 0.500
0.500 0.500 0.000
0.500 0.500 0.500


[3]
NaSrCaGe | Alexandria | GGA-PBE | relaxed; formation energy from the elements = -0.288 eV/atom; total magnetic moment = 0.000 μB per atom; theoretical density = 3.2 g/cm3
1.0
7.765 0.000 0.000
0.000 7.765 0.000
0.000 0.000 7.765
Na Sr Ca Ge
4 4 4 4
direct
0.000 0.000 0.000
0.000 0.500 0.500
0.500 0.000 0.500
0.500 0.500 0.000
0.250 0.250 0.750
0.250 0.750 0.250
0.750 0.250 0.250
0.750 0.750 0.750
0.250 0.250 0.250
0.250 0.750 0.750
0.750 0.250 0.750
0.750 0.750 0.250
0.000 0.000 0.500
0.000 0.500 0.000
0.500 0.000 0.000
0.500 0.500 0.500


[4]
NaCaTc2Ge | Alexandria | GGA-PBE | relaxed; formation energy from the elements = 1.618 eV/atom; total magnetic moment = 0.938 μB per atom; theoretical density = 4.9 g/cm3
1.0
4.797 0.000 0.000
0.000 4.797 0.000
0.000 0.000 4.874
Na Ca Tc Ge
1 1 2 1
direct
0.000 0.000 0.000
0.500 0.500 0.500
0.000 0.500 0.000
0.500 0.000 0.000
0.000 0.000 0.500


[5]
NaCaTlGe | Alexandria | GGA-PBE | relaxed; formation energy from the elements = -0.263 eV/atom; total magnetic moment = 0.000 μB per atom; theoretical density = 5.5 g/cm3
1.0
7.440 0.000 0.000
0.000 7.440 0.000
0.000 0.000 7.440
Na Ca Tl Ge
4 4 4 4
direct
0.000 0.000 0.000
0.000 0.500 0.500
0.500 0.000 0.500
0.500 0.500 0.000
0.000 0.000 0.500
0.000 0.500 0.000
0.500 0.000 0.000
0.500 0.500 0.500
0.250 0.250 0.750
0.250 0.750 0.250
0.750 0.250 0.250
0.750 0.750 0.750
0.250 0.250 0.250
0.250 0.750 0.750
0.750 0.250 0.750
0.750 0.750 0.250


[6]
NaCa2Zn2Ge2 | Alexandria | GGA-PBE | relaxed; formation energy from the elements = -0.280 eV/atom; total magnetic moment = 0.000 μB per atom; theoretical density = 3.8 g/cm3
1.0
2.245 1.296 9.460
-2.245 1.296 9.460
0.000 -2.593 9.460
Na Ca Zn Ge
1 2 2 2
direct
0.000 0.000 0.000
0.128 0.128 0.128
0.872 0.872 0.872
0.405 0.405 0.405
0.595 0.595 0.595
0.256 0.256 0.256
0.744 0.744 0.744


[7]
CaNbGe3 | Alexandria | GGA-PBE | relaxed; formation energy from the elements = 1.565 eV/atom; total magnetic moment = 0.000 μB per atom; theoretical density = 4.6 g/cm3
1.0
5.040 0.000 0.000
0.000 5.040 0.000
0.000 0.000 5.040
Ca Nb Ge
1 1 3
direct
0.000 0.000 0.000
0.500 0.500 0.500
0.000 0.000 0.500
0.000 0.500 0.000
0.500 0.000 0.000


[8]
CaNb2Ge | Alexandria | GGA-PBE | relaxed; formation energy from the elements = 0.462 eV/atom; total magnetic moment = 0.000 μB per atom; theoretical density = 5.8 g/cm3
1.0
4.066 0.000 0.000
0.000 4.066 0.000
0.000 0.000 20.538
Ca Nb Ge
4 8 4
direct
0.000 0.000 0.000
0.000 0.500 0.250
0.500 0.000 0.750
0.500 0.500 0.500
0.217 0.250 0.625
0.250 0.717 0.875
0.250 0.783 0.375
0.283 0.250 0.125
0.717 0.750 0.125
0.750 0.217 0.375
0.750 0.283 0.875
0.783 0.750 0.625
0.000 0.000 0.500
0.000 0.500 0.750
0.500 0.000 0.250
0.500 0.500 0.000


[9]
CaNb3Ge | Alexandria | GGA-PBE | relaxed; formation energy from the elements = 0.738 eV/atom; total magnetic moment = 0.000 μB per atom; theoretical density = 5.5 g/cm3
1.0
4.912 0.000 0.000
0.000 4.912 0.000
0.000 0.000 4.912
Ca Nb Ge
1 3 1
direct
0.000 0.000 0.000
0.000 0.500 0.500
0.500 0.000 0.500
0.500 0.500 0.000
0.500 0.500 0.500


[10]
CaNb3Ge | Alexandria | GGA-PBE | relaxed; formation energy from the elements = 2.168 eV/atom; total magnetic moment = 0.000 μB per atom; theoretical density = 6.1 g/cm3
1.0
4.746 0.000 0.000
0.000 4.746 0.000
0.000 0.000 4.746
Ca Nb Ge
1 3 1
direct
0.000 0.000 0.000
0.000 0.000 0.500
0.000 0.500 0.000
0.500 0.000 0.000
0.500 0.500 0.500


[11]
CaNb2Ge2 | Alexandria | GGA-PBE | relaxed; formation energy from the elements = -0.252 eV/atom; total magnetic moment = 0.000 μB per atom; theoretical density = 6.5 g/cm3
1.0
7.330 0.000 0.000
0.000 7.330 0.000
0.000 0.000 3.506
Ca Nb Ge
2 4 4
direct
0.000 0.000 0.000
0.500 0.500 0.000
0.159 0.341 0.500
0.341 0.841 0.500
0.659 0.159 0.500
0.841 0.659 0.500
0.131 0.631 0.000
0.369 0.131 0.000
0.631 0.869 0.000
0.869 0.369 0.000


[12]
CaNb2Ge2 | Alexandria | GGA-PBE | relaxed; formation energy from the elements = -0.065 eV/atom; total magnetic moment = 0.000 μB per atom; theoretical density = 5.7 g/cm3
1.0
5.006 0.000 0.000
0.000 5.006 0.000
0.000 0.000 8.576
Ca Nb Ge
2 4 4
direct
0.000 0.000 0.000
0.500 0.500 0.500
0.000 0.000 0.351
0.000 0.000 0.649
0.500 0.500 0.149
0.500 0.500 0.851
0.000 0.500 0.250
0.000 0.500 0.750
0.500 0.000 0.250
0.500 0.000 0.750


- Look up the theoretical density of the second one.
  2.3 g/cm3